No. 1
# SbW3

A relaxed SbW3 crystal (PBE-GGA, Alexandria via LeMat-Bulk).

Unit cell a=5.662 b=5.662 c=9.916 alpha=90.00 beta=90.00 gamma=120.00
Fractional positions:
1 W 0.500 0.500 0.000
2 W 0.169 0.831 0.750
3 W 0.000 0.500 0.500
4 W 0.000 0.500 0.000
5 W 0.500 0.000 0.500
6 W 0.169 0.338 0.750
7 W 0.338 0.169 0.250
8 W 0.831 0.169 0.250
9 W 0.662 0.831 0.750
10 W 0.831 0.662 0.250
11 W 0.500 0.500 0.500
12 W 0.500 0.000 0.000
13 Sb 0.667 0.333 0.750
14 Sb 0.000 0.000 0.000
15 Sb 0.333 0.667 0.250
16 Sb 0.000 0.000 0.500

SG = P6_3/mmc (194)
Energy above the lowest structure with this stoichiometry = 0.67 eV/f.u.
Calculated total energy = -10.0999 eV per atom
Calculated density = 16.247 g/cm³
Formation energy from raw total energies = 0.6456 eV per atom



No. 2
# Pm2TmTcO8

A relaxed Pm2TmTcO8 crystal (PBE-GGA, Alexandria via LeMat-Bulk).

Unit cell a=5.142 b=5.138 c=6.802 alpha=90.00 beta=90.00 gamma=90.99
Fractional positions:
1 O 0.262 0.261 0.000
2 O 0.701 0.701 0.500
3 O 0.824 0.177 0.210
4 O 0.738 0.739 0.000
5 O 0.176 0.823 0.790
6 O 0.176 0.823 0.210
7 O 0.824 0.177 0.790
8 O 0.299 0.299 0.500
9 Pm 0.500 0.500 0.250
10 Pm 0.500 0.500 0.750
11 Tc 0.000 0.000 0.000
12 Tm 0.000 0.000 0.500

SG = Cmmm (65)
Calculated total energy = -7.8942 eV per atom
Calculated density = 6.331 g/cm³
Formation energy from raw total energies = -2.5605 eV per atom



No. 3
# K2LaW2

A relaxed K2LaW2 crystal (PBE-GGA, Alexandria via LeMat-Bulk).

Unit cell a=3.582 b=3.582 c=14.303 alpha=82.81 beta=82.81 gamma=90.00
Fractional positions:
1 K 0.365 0.365 0.269
2 K 0.635 0.635 0.731
3 La 0.000 0.000 0.000
4 W 0.750 0.250 0.500
5 W 0.250 0.750 0.500

SG = I4/mmm (139)
Energy above the lowest structure with this stoichiometry = 0.00 eV/f.u.
Calculated total energy = -5.4881 eV per atom
Calculated density = 5.375 g/cm³



No. 4
# MgIn2Tc

A relaxed MgIn2Tc crystal (PBE-GGA, Alexandria via LeMat-Bulk).

Unit cell a=3.566 b=3.567 c=6.046 alpha=90.00 beta=90.00 gamma=90.00
Fractional positions:
1 Tc 0.500 0.500 0.750
2 In 0.000 0.000 0.515
3 In 0.000 0.000 0.985
4 Mg 0.500 0.500 0.250

SG = P4/mmm (123)
Calculated total energy = -4.2332 eV per atom
Calculated density = 7.599 g/cm³



No. 5
# TlGe2RuC

A relaxed TlGe2RuC crystal (PBE-GGA, Alexandria via LeMat-Bulk).

Unit cell a=4.128 b=5.013 c=4.128 alpha=90.00 beta=90.00 gamma=90.00
Site moments in Bohr magnetons follow the coordinates.
Fractional positions:
1 Ge 0.000 0.000 0.500  -0.01
2 Ge 0.500 0.000 0.000  0.00
3 Ru 0.500 0.500 0.500  0.83
4 Tl 0.000 0.500 0.000  0.00
5 C 0.000 0.000 0.000  0.02

SG = P4/mmm (123)
Calculated total energy = -4.7238 eV per atom
Calculated density = 8.998 g/cm³



No. 6
# Sr2CdCu3As4

A relaxed Sr2CdCu3As4 crystal (PBE-GGA, Alexandria via LeMat-Bulk).

Unit cell a=4.406 b=4.406 c=10.577 alpha=90.00 beta=90.00 gamma=90.00
Fractional positions:
1 As 0.500 0.500 0.000
2 As 0.500 0.000 0.650
3 As 0.000 0.000 0.000
4 As 0.000 0.500 0.350
5 Cu 0.000 0.000 0.500
6 Cu 0.500 0.000 0.883
7 Cu 0.000 0.500 0.117
8 Sr 0.000 0.500 0.763
9 Sr 0.500 0.000 0.237
10 Cd 0.500 0.500 0.500

SG = P-4m2 (115)
Calculated total energy = -4.0409 eV per atom
Calculated density = 6.290 g/cm³



No. 7
# Bi5Au6

A relaxed Bi5Au6 crystal (PBE-GGA, Alexandria via LeMat-Bulk).

Unit cell a=4.028 b=4.404 c=15.478 alpha=98.18 beta=90.00 gamma=90.00
Fractional positions:
1 Au 0.500 0.898 0.796
2 Au 0.000 0.282 0.564
3 Au 0.500 0.456 0.912
4 Au 0.000 0.718 0.436
5 Au 0.500 0.102 0.204
6 Au 0.500 0.544 0.088
7 Bi 0.500 0.198 0.397
8 Bi 0.500 0.802 0.603
9 Bi 0.000 0.620 0.240
10 Bi 0.000 0.380 0.760
11 Bi 0.000 0.000 0.000

SG = Cmmm (65)
Calculated total energy = -3.5703 eV per atom
Calculated density = 13.605 g/cm³



No. 8
# Ag3AsN

A relaxed Ag3AsN crystal (PBE-GGA, Alexandria via LeMat-Bulk).

Unit cell a=4.411 b=4.411 c=4.411 alpha=90.00 beta=90.00 gamma=90.00
Fractional positions:
1 N 0.000 0.000 0.000
2 Ag 0.000 0.500 0.000
3 Ag 0.500 0.000 0.000
4 Ag 0.000 0.000 0.500
5 As 0.500 0.500 0.500

SG = Pm-3m (221)
Energy above the lowest structure with this stoichiometry = 0.00 eV/f.u.
Calculated total energy = -3.5405 eV per atom
Calculated density = 7.984 g/cm³
Formation energy from raw total energies = 0.7652 eV per atom



No. 9
# Nd2SmTm3As6

A relaxed Nd2SmTm3As6 crystal (PBE-GGA, Alexandria via LeMat-Bulk).

Unit cell a=4.163 b=8.313 c=9.296 alpha=102.81 beta=102.94 gamma=90.00
Fractional positions:
1 Tm 0.500 0.500 0.000
2 Tm 0.833 0.166 0.666
3 Tm 0.167 0.834 0.334
4 As 0.336 0.410 0.672
5 As 0.664 0.590 0.328
6 As 0.331 0.925 0.663
7 As 0.997 0.255 0.994
8 As 0.003 0.745 0.006
9 As 0.669 0.075 0.337
10 Nd 0.834 0.667 0.667
11 Nd 0.166 0.333 0.333
12 Sm 0.500 0.000 0.000

SG = C2/m (12)
Calculated total energy = -6.1325 eV per atom
Calculated density = 7.589 g/cm³



No. 10
# CrPd5Au6

A relaxed CrPd5Au6 crystal (PBE-GGA, Alexandria via LeMat-Bulk).

Unit cell a=4.068 b=8.086 c=7.557 alpha=122.26 beta=105.68 gamma=89.98
Site moments in Bohr magnetons follow the coordinates.
Fractional positions:
1 Au 0.833 0.084 0.667  0.02
2 Au 0.500 0.252 0.000  0.02
3 Au 0.167 0.417 0.333  0.02
4 Au 0.500 0.748 0.000  0.02
5 Au 0.833 0.583 0.667  0.02
6 Au 0.167 0.916 0.333  0.02
7 Pd 0.660 0.160 0.321  0.02
8 Pd 0.332 0.332 0.663  0.03
9 Pd 0.000 0.500 0.000  -0.01
10 Pd 0.340 0.840 0.679  0.02
11 Pd 0.668 0.668 0.337  0.03
12 Cr 0.000 0.000 0.000  3.45

SG = P-1 (2)
Calculated total energy = -4.6685 eV per atom
Calculated density = 14.720 g/cm³



No. 11
# CoSbP2

A relaxed CoSbP2 crystal (PBE-GGA, Alexandria via LeMat-Bulk).

Unit cell a=4.655 b=4.655 c=4.655 alpha=126.01 beta=126.01 gamma=79.87
Site moments in Bohr magnetons follow the coordinates.
Fractional positions:
1 Sb 0.500 0.500 0.000  -0.01
2 Co 0.750 0.250 0.500  0.81
3 P 0.000 0.000 0.000  0.01
4 P 0.250 0.750 0.500  0.01

SG = I-4m2 (119)
Calculated total energy = -4.9017 eV per atom
Calculated density = 6.322 g/cm³
Formation energy from raw total energies = 0.6103 eV per atom



No. 12
# Pa2AlPbO8

A relaxed Pa2AlPbO8 crystal (PBE-GGA, Alexandria via LeMat-Bulk).

Unit cell a=4.924 b=4.924 c=7.052 alpha=90.00 beta=90.00 gamma=88.67
Fractional positions:
1 O 0.299 0.299 0.000
2 O 0.679 0.679 0.500
3 O 0.810 0.190 0.206
4 O 0.190 0.810 0.794
5 O 0.701 0.701 0.000
6 O 0.190 0.810 0.206
7 O 0.321 0.321 0.500
8 O 0.810 0.190 0.794
9 Al 0.000 0.000 0.000
10 Pa 0.500 0.500 0.761
11 Pa 0.500 0.500 0.239
12 Pb 0.000 0.000 0.500

SG = Cmmm (65)
Calculated total energy = -8.2930 eV per atom
Calculated density = 8.006 g/cm³
Formation energy from raw total energies = -2.7839 eV per atom



No. 13
# Ti2NbW

A relaxed Ti2NbW crystal (PBE-GGA, Alexandria via LeMat-Bulk).

Unit cell a=4.554 b=4.554 c=4.554 alpha=60.00 beta=60.00 gamma=60.00
Fractional positions:
1 Ti 0.250 0.250 0.250
2 Ti 0.750 0.750 0.750
3 W 0.500 0.500 0.500
4 Nb 0.000 0.000 0.000

SG = Fm-3m (225)
Energy above the lowest structure with this stoichiometry = 0.33 eV/f.u.
Calculated total energy = -9.6278 eV per atom
Calculated density = 9.264 g/cm³



No. 14
# NiSe

A relaxed NiSe crystal (PBE-GGA, Alexandria via LeMat-Bulk).

Unit cell a=6.163 b=6.163 c=5.911 alpha=59.92 beta=59.92 gamma=32.40
Fractional positions:
1 Ni 0.374 0.374 0.530
2 Ni 0.731 0.731 0.002
3 Ni 0.888 0.888 0.178
4 Se 0.398 0.398 0.904
5 Se 0.058 0.058 0.265
6 Se 0.717 0.717 0.621

SG = Cm (8)
Calculated total energy = -4.8427 eV per atom
Calculated density = 6.682 g/cm³
Formation energy from raw total energies = -0.2098 eV per atom



No. 15
# Ce3AgS6

A relaxed Ce3AgS6 crystal (PBE-GGA, Alexandria via LeMat-Bulk).

Unit cell a=6.650 b=8.597 c=8.597 alpha=102.04 beta=90.00 gamma=90.00
Site moments in Bohr magnetons follow the coordinates.
Fractional positions:
1 Ce 0.388 0.392 0.608  0.39
2 Ce 0.888 0.608 0.392  0.39
3 Ce 0.475 0.284 0.077  0.46
4 Ce 0.475 0.923 0.716  0.46
5 Ce 0.975 0.077 0.284  0.46
6 Ce 0.975 0.716 0.923  0.46
7 S 0.694 0.974 0.026  -0.03
8 S 0.680 0.634 0.688  -0.03
9 S 0.219 0.093 0.548  -0.03
10 S 0.141 0.775 0.225  -0.03
11 S 0.719 0.548 0.093  -0.03
12 S 0.219 0.452 0.907  -0.03
13 S 0.719 0.907 0.452  -0.03
14 S 0.194 0.026 0.974  -0.03
15 S 0.180 0.688 0.634  -0.03
16 S 0.680 0.312 0.366  -0.03
17 S 0.641 0.225 0.775  -0.03
18 S 0.180 0.366 0.312  -0.03
19 Ag 0.516 0.803 0.197  -0.01
20 Ag 0.016 0.197 0.803  -0.01

SG = Cmc2_1 (36)
Calculated total energy = -6.1465 eV per atom
Calculated density = 4.979 g/cm³
Formation energy from raw total energies = -1.6048 eV per atom



No. 16
# Be2CrGa2

A relaxed Be2CrGa2 crystal (PBE-GGA, Alexandria via LeMat-Bulk).

Unit cell a=6.426 b=6.426 c=2.944 alpha=90.00 beta=90.00 gamma=90.00
Site moments in Bohr magnetons follow the coordinates.
Fractional positions:
1 Be 0.379 0.879 0.000  -0.01
2 Be 0.621 0.121 0.000  -0.01
3 Be 0.879 0.621 0.000  -0.01
4 Be 0.121 0.379 0.000  -0.01
5 Cr 0.500 0.500 0.000  2.03
6 Cr 0.000 0.000 0.000  2.03
7 Ga 0.177 0.677 0.500  -0.06
8 Ga 0.823 0.323 0.500  -0.06
9 Ga 0.677 0.823 0.500  -0.05
10 Ga 0.323 0.177 0.500  -0.05

SG = P4/mbm (127)
Energy above the lowest structure with this stoichiometry = 0.00 eV/f.u.
Calculated total energy = -4.3594 eV per atom
Calculated density = 5.722 g/cm³



No. 17
# PRuPtCl2

A relaxed PRuPtCl2 crystal (PBE-GGA, Alexandria via LeMat-Bulk).

Unit cell a=4.977 b=4.977 c=4.577 alpha=90.00 beta=90.00 gamma=90.00
Site moments in Bohr magnetons follow the coordinates.
Fractional positions:
1 Pt 0.000 0.000 0.000  0.01
2 Ru 0.500 0.500 0.500  2.77
3 Cl 0.500 0.000 0.000  0.06
4 Cl 0.000 0.500 0.000  0.06
5 P 0.000 0.000 0.500  0.06

SG = P4/mmm (123)
Energy above the lowest structure with this stoichiometry = 0.86 eV/f.u.
Calculated total energy = -3.9360 eV per atom
Calculated density = 5.830 g/cm³
Formation energy from raw total energies = 0.9480 eV per atom



No. 18
# ZrCu2Te

A relaxed ZrCu2Te crystal (PBE-GGA, Alexandria via LeMat-Bulk).

Unit cell a=4.157 b=4.157 c=5.663 alpha=68.45 beta=68.45 gamma=59.92
Fractional positions:
1 Zr 0.275 0.275 0.174
2 Cu 0.052 0.052 0.845
3 Cu 0.688 0.688 0.937
4 Te 0.485 0.485 0.544

SG = R3m (160)
Calculated total energy = -5.1668 eV per atom
Calculated density = 7.492 g/cm³
Formation energy from raw total energies = -0.1962 eV per atom



No. 19
# PrErBiO2

A relaxed PrErBiO2 crystal (PBE-GGA, Alexandria via LeMat-Bulk).

Unit cell a=5.589 b=5.611 c=7.466 alpha=112.07 beta=90.00 gamma=90.00
Fractional positions:
1 Pr 0.750 0.411 0.822
2 Pr 0.250 0.589 0.178
3 O 0.500 0.241 0.000
4 O 0.000 0.759 0.000
5 O 0.500 0.759 0.000
6 O 0.000 0.241 0.000
7 Er 0.750 0.076 0.151
8 Er 0.250 0.924 0.849
9 Bi 0.750 0.750 0.499
10 Bi 0.250 0.250 0.501

SG = Cmcm (63)
Calculated total energy = -7.2535 eV per atom
Calculated density = 8.405 g/cm³
Formation energy from raw total energies = -2.6256 eV per atom



No. 20
# PrSmLu2

A relaxed PrSmLu2 crystal (PBE-GGA, Alexandria via LeMat-Bulk).

Unit cell a=5.678 b=5.678 c=5.678 alpha=60.00 beta=60.00 gamma=60.00
Fractional positions:
1 Lu 0.250 0.250 0.250
2 Lu 0.750 0.750 0.750
3 Sm 0.500 0.500 0.500
4 Pr 0.000 0.000 0.000

SG = Fm-3m (225)
Energy above the lowest structure with this stoichiometry = 0.23 eV/f.u.
Calculated total energy = -4.5512 eV per atom
Calculated density = 8.225 g/cm³